1.
Density functional theory data (PBE-GGA) for a relaxed structure of Ba2CoPt.

Results
Calculated volume: 117.35 Å³ per cell
Energy: -16.78 eV per cell
E_form: 52 meV per atom

Unit cell a=3.9042 b=3.9042 c=7.6985 alpha=90.00 beta=90.00 gamma=90.00
Space group P4/mmm (No. 123)
Inequivalent atoms, fractional coordinates:
Ba  0.0000  0.0000  0.2407 [2 per cell]
Co  0.5000  0.5000  0.5000 [1 per cell]
Pt  0.5000  0.5000  0.0000 [1 per cell]

2.
Density functional theory data (PBE-GGA) for a relaxed structure of HoVCoRu.

Results
Calculated volume: 251.95 Å³ per cell
Energy: -120.96 eV per cell
E_form: -40 meV per atom

Unit cell a=6.3160 b=6.3160 c=6.3160 alpha=90.00 beta=90.00 gamma=90.00
Space group F-43m (No. 216)
Inequivalent atoms, fractional coordinates:
Ho  0.0000  0.0000  0.0000 [4 per cell]
V  0.0000  0.0000  0.5000 [4 per cell]
Co  0.2500  0.2500  0.2500 [4 per cell]
Ru  0.2500  0.2500  0.7500 [4 per cell]

3.
Density functional theory data (PBE-GGA) for a relaxed structure of NbInGa2Co.

Results
Calculated volume: 131.82 Å³ per cell
Energy: -20.38 eV per cell
E_form: 1119 meV per atom

Unit cell a=4.9765 b=4.9765 c=5.3229 alpha=90.00 beta=90.00 gamma=90.00
Space group P4/mmm (No. 123)
Inequivalent atoms, fractional coordinates:
Nb  0.0000  0.0000  0.0000 [1 per cell]
In  0.0000  0.0000  0.5000 [1 per cell]
Ga  0.0000  0.5000  0.0000 [2 per cell]
Co  0.5000  0.5000  0.5000 [1 per cell]

4.
Density functional theory data (PBE-GGA) for a relaxed structure of Li3DyPb2.

Results
Calculated volume: 538.23 Å³ per cell
Energy: -79.21 eV per cell
E_form: -340 meV per atom

Unit cell a=14.5145 b=4.7046 c=8.9516 alpha=90.00 beta=118.30 gamma=90.00
Space group C2/m (No. 12)
Inequivalent atoms, fractional coordinates:
Li  0.0507  0.0000  0.3850 [4 per cell]
Li  0.0979  0.5000  0.6816 [4 per cell]
Li  0.2271  0.5000  0.5460 [4 per cell]
Dy  0.1377  0.0000  0.0220 [4 per cell]
Pb  0.0441  0.5000  0.1981 [4 per cell]
Pb  0.2110  0.0000  0.7329 [4 per cell]

5.
Density functional theory data (PBE-GGA) for a relaxed structure of La2MnOs.

Results
Calculated volume: 409.90 Å³ per cell
Energy: -113.98 eV per cell
E_form: 440 meV per atom
Offset from the most stable computed form: 42.99 kJ per mole of atoms

Unit cell a=8.1784 b=8.1784 c=6.1283 alpha=90.00 beta=90.00 gamma=90.00
Space group I-42d (No. 122)
Inequivalent atoms, fractional coordinates:
La  0.2036  0.2500  0.1250 [8 per cell]
Mn  0.0000  0.0000  0.5000 [4 per cell]
Os  0.0000  0.0000  0.0000 [4 per cell]

6.
Density functional theory data (PBE-GGA) for a relaxed structure of PmDy5Se6.

Results
Calculated volume: 582.45 Å³ per cell
Energy: -139.68 eV per cell
E_form (uncorrected): -170 kJ/mol of atoms

Unit cell a=7.0951 b=12.3097 c=7.0777 alpha=90.00 beta=109.57 gamma=90.00
Space group C2/m (No. 12)
Inequivalent atoms, fractional coordinates:
Pm  0.0000  0.0000  0.0000 [2 per cell]
Dy  0.0000  0.1612  0.5000 [4 per cell]
Dy  0.0000  0.3345  0.0000 [4 per cell]
Dy  0.0000  0.5000  0.5000 [2 per cell]
Se  0.2431  0.5000  0.2510 [4 per cell]
Se  0.2449  0.3293  0.7451 [8 per cell]

7.
Density functional theory data (PBE-GGA) for a relaxed structure of Pr3In2Ga.

Results
Calculated volume: 170.80 Å³ per cell
Energy: -25.87 eV per cell
E_form: -505 meV per atom
Offset from the most stable computed form: 0.00 kJ per mole of atoms

Unit cell a=3.8195 b=3.8195 c=11.7076 alpha=90.00 beta=90.00 gamma=90.00
Space group P4/mmm (No. 123)
Inequivalent atoms, fractional coordinates:
Pr  0.0000  0.0000  0.0000 [1 per cell]
Pr  0.0000  0.0000  0.3449 [2 per cell]
In  0.5000  0.5000  0.1719 [2 per cell]
Ga  0.5000  0.5000  0.5000 [1 per cell]

8.
Density functional theory data (PBE-GGA) for a relaxed structure of NdDy6Y.

Results
Calculated volume: 256.28 Å³ per cell
Energy: -38.66 eV per cell
E_form: 23 meV per atom
Offset from the most stable computed form: 0.59 kJ per mole of atoms

Unit cell a=5.0451 b=5.0451 c=10.0687 alpha=90.00 beta=90.00 gamma=90.00
Space group P4/mmm (No. 123)
Inequivalent atoms, fractional coordinates:
Nd  0.0000  0.0000  0.0000 [1 per cell]
Dy  0.0000  0.5000  0.2513 [4 per cell]
Dy  0.5000  0.5000  0.0000 [1 per cell]
Dy  0.5000  0.5000  0.5000 [1 per cell]
Y  0.0000  0.0000  0.5000 [1 per cell]

9.
Density functional theory data (PBE-GGA) for a relaxed structure of TlAu7.

Results
Calculated volume: 606.00 Å³ per cell
Energy: -99.88 eV per cell
E_form: 42 meV per atom

Unit cell a=8.4623 b=8.4623 c=8.4623 alpha=90.00 beta=90.00 gamma=90.00
Space group Fm-3m (No. 225)
Inequivalent atoms, fractional coordinates:
Tl  0.0000  0.0000  0.0000 [4 per cell]
Au  0.0000  0.0000  0.5000 [4 per cell]
Au  0.0000  0.2500  0.2500 [24 per cell]

10.
Density functional theory data (PBE-GGA) for a relaxed structure of P2IrSe.

Results
Calculated volume: 66.32 Å³ per cell
Energy: -23.20 eV per cell
E_form (uncorrected): -1 kJ/mol of atoms

Unit cell a=5.0692 b=2.8930 c=5.0888 alpha=90.00 beta=117.30 gamma=90.00
Space group P2/m (No. 10)
Inequivalent atoms, fractional coordinates:
P  0.1886  0.0000  0.4289 [2 per cell]
Ir  0.0000  0.5000  0.0000 [1 per cell]
Se  0.5000  0.5000  0.0000 [1 per cell]

11.
Density functional theory data (PBE-GGA) for a relaxed structure of TbAlZn2Pd4.

Results
Calculated volume: 393.19 Å³ per cell
Energy: -112.33 eV per cell
E_form: -719 meV per atom

Unit cell a=4.4755 b=4.4755 c=22.6663 alpha=90.00 beta=90.00 gamma=120.00
Space group R-3m (No. 166, hexagonal axes)
Inequivalent atoms, fractional coordinates:
Tb  0.0000  0.0000  0.0000 [3 per cell]
Al  0.0000  0.0000  0.5000 [3 per cell]
Zn  0.0000  0.0000  0.2488 [6 per cell]
Pd  0.0000  0.0000  0.1309 [6 per cell]
Pd  0.0000  0.0000  0.3908 [6 per cell]

12.
Density functional theory data (PBE-GGA) for a relaxed structure of BaSrOs2.

Results
Calculated volume: 367.88 Å³ per cell
Energy: -83.88 eV per cell
E_form: 1273 meV per atom
Offset from the most stable computed form: 104.32 kJ per mole of atoms

Unit cell a=7.1653 b=7.1653 c=7.1653 alpha=90.00 beta=90.00 gamma=90.00
Space group F-43m (No. 216)
Inequivalent atoms, fractional coordinates:
Ba  0.0000  0.0000  0.0000 [4 per cell]
Sr  0.2500  0.2500  0.7500 [4 per cell]
Os  0.0000  0.0000  0.5000 [4 per cell]
Os  0.2500  0.2500  0.2500 [4 per cell]